A geometry-optimized MgNi2Ru structure, computed with PBE-GGA.

## Properties
The value obtained for the volume is 12.91 Å³ per atom. The value obtained for the density of states at the Fermi level is 4.48 states/eV/cell. The formation energy is -0.0002 eV per atom. The total energy is -22.43 eV for the cell shown. Its space-group type is Cmmm, No. 65.

```
data_MgNi2Ru
_chemical_formula_sum 'Mg1 Ni2 Ru1'
_cell_length_a 4.531
_cell_length_b 4.531
_cell_length_c 2.645
_cell_angle_alpha 90.00
_cell_angle_beta 90.00
_cell_angle_gamma 107.95
_space_group_name_H-M_alt 'P 1'
_space_group_IT_number 1
loop_
_space_group_symop_operation_xyz
'x,y,z'
loop_
_atom_site_label
_atom_site_fract_x
_atom_site_fract_y
_atom_site_fract_z
Mg1 0.000 0.500 0.500
Ni1 0.000 0.000 0.000
Ni2 0.500 0.500 0.000
Ru1 0.500 0.000 0.500
```

---

A geometry-optimized Mg2NiRu structure, computed with PBE-GGA.

## Properties
The value obtained for the volume is 14.99 Å³ per atom. The value obtained for the density of states at the Fermi level is 2.94 states/eV/cell. The formation energy is 0.0917 eV per atom. The total energy is -17.88 eV for the cell shown. Its space-group type is R-3m, No. 166.

```
data_Mg2NiRu
_chemical_formula_sum 'Mg2 Ni1 Ru1'
_cell_length_a 8.779
_cell_length_b 8.779
_cell_length_c 8.779
_cell_angle_alpha 18.58
_cell_angle_beta 18.58
_cell_angle_gamma 18.58
_space_group_name_H-M_alt 'P 1'
_space_group_IT_number 1
loop_
_space_group_symop_operation_xyz
'x,y,z'
loop_
_atom_site_label
_atom_site_fract_x
_atom_site_fract_y
_atom_site_fract_z
Mg1 0.002 0.002 0.002
Mg2 0.498 0.498 0.498
Ni1 0.750 0.750 0.750
Ru1 0.250 0.250 0.250
```

---

A geometry-optimized MgNi2Ru structure, computed with PBE-GGA.

## Properties
The value obtained for the volume is 13.07 Å³ per atom. The value obtained for the density of states at the Fermi level is 3.15 states/eV/cell. The formation energy is 0.1251 eV per atom. The total energy is -21.93 eV for the cell shown. Its space-group type is F-43m, No. 216.

```
data_MgNi2Ru
_chemical_formula_sum 'Mg1 Ni2 Ru1'
_cell_length_a 4.197
_cell_length_b 4.197
_cell_length_c 4.197
_cell_angle_alpha 60.00
_cell_angle_beta 60.00
_cell_angle_gamma 60.00
_space_group_name_H-M_alt 'P 1'
_space_group_IT_number 1
loop_
_space_group_symop_operation_xyz
'x,y,z'
loop_
_atom_site_label
_atom_site_fract_x
_atom_site_fract_y
_atom_site_fract_z
Mg1 0.500 0.500 0.500
Ni1 0.000 0.000 0.000
Ni2 0.250 0.250 0.250
Ru1 0.750 0.750 0.750
```

---

A geometry-optimized MgNi2Ru structure, computed with PBE-GGA.

## Properties
The value obtained for the volume is 13.11 Å³ per atom. The value obtained for the density of states at the Fermi level is 5.17 states/eV/cell. The formation energy is 0.0705 eV per atom. The total energy is -22.15 eV for the cell shown. Its space-group type is I4/mmm, No. 139.

```
data_MgNi2Ru
_chemical_formula_sum 'Mg1 Ni2 Ru1'
_cell_length_a 4.475
_cell_length_b 4.475
_cell_length_c 4.475
_cell_angle_alpha 129.19
_cell_angle_beta 129.22
_cell_angle_gamma 74.68
_space_group_name_H-M_alt 'P 1'
_space_group_IT_number 1
loop_
_space_group_symop_operation_xyz
'x,y,z'
loop_
_atom_site_label
_atom_site_fract_x
_atom_site_fract_y
_atom_site_fract_z
Mg1 0.250 0.750 0.500
Ni1 0.000 0.000 0.000
Ni2 0.500 0.500 0.000
Ru1 0.750 0.250 0.500
```

---

A geometry-optimized MgNi2Ru structure, computed with PBE-GGA.

## Properties
The value obtained for the volume is 13.04 Å³ per atom. The value obtained for the density of states at the Fermi level is 4.24 states/eV/cell. The formation energy is 0.0155 eV per atom. The total energy is -22.37 eV for the cell shown. Its space-group type is Cm, No. 8.

```
data_MgNi2Ru
_chemical_formula_sum 'Mg1 Ni2 Ru1'
_cell_length_a 4.619
_cell_length_b 4.619
_cell_length_c 4.548
_cell_angle_alpha 78.19
_cell_angle_beta 78.19
_cell_angle_gamma 33.39
_space_group_name_H-M_alt 'P 1'
_space_group_IT_number 1
loop_
_space_group_symop_operation_xyz
'x,y,z'
loop_
_atom_site_label
_atom_site_fract_x
_atom_site_fract_y
_atom_site_fract_z
Mg1 0.744 0.744 0.780
Ni1 0.989 0.989 0.989
Ni2 0.255 0.255 0.276
Ru1 0.512 0.512 0.455
```

---

A geometry-optimized MgNi2Ru structure, computed with PBE-GGA.

## Properties
The value obtained for the volume is 13.20 Å³ per atom. The value obtained for the density of states at the Fermi level is 4.26 states/eV/cell. The formation energy is 0.0235 eV per atom. The total energy is -22.34 eV for the cell shown. Its space-group type is P4/mmm, No. 123.

```
data_MgNi2Ru
_chemical_formula_sum 'Mg1 Ni2 Ru1'
_cell_length_a 2.693
_cell_length_b 2.693
_cell_length_c 7.281
_cell_angle_alpha 90.00
_cell_angle_beta 90.00
_cell_angle_gamma 90.00
_space_group_name_H-M_alt 'P 1'
_space_group_IT_number 1
loop_
_space_group_symop_operation_xyz
'x,y,z'
loop_
_atom_site_label
_atom_site_fract_x
_atom_site_fract_y
_atom_site_fract_z
Mg1 0.500 0.500 0.750
Ni1 0.000 0.000 0.014
Ni2 0.000 0.000 0.486
Ru1 0.500 0.500 0.250
```

---

A geometry-optimized MgNi2Ru structure, computed with PBE-GGA.

## Properties
The value obtained for the volume is 13.12 Å³ per atom. The value obtained for the density of states at the Fermi level is 5.45 states/eV/cell. The formation energy is 0.0978 eV per atom. The total energy is -22.04 eV for the cell shown. Its space-group type is P4/mmm, No. 123.

```
data_MgNi2Ru
_chemical_formula_sum 'Mg1 Ni2 Ru1'
_cell_length_a 3.800
_cell_length_b 3.798
_cell_length_c 3.637
_cell_angle_alpha 90.00
_cell_angle_beta 90.00
_cell_angle_gamma 90.00
_space_group_name_H-M_alt 'P 1'
_space_group_IT_number 1
loop_
_space_group_symop_operation_xyz
'x,y,z'
loop_
_atom_site_label
_atom_site_fract_x
_atom_site_fract_y
_atom_site_fract_z
Mg1 0.000 0.500 0.500
Ni1 0.000 0.000 0.000
Ni2 0.500 0.500 0.000
Ru1 0.500 0.000 0.500
```

---

A geometry-optimized Mg2NiRu structure, computed with PBE-GGA.

## Properties
The value obtained for the volume is 14.97 Å³ per atom. The value obtained for the density of states at the Fermi level is 2.37 states/eV/cell. The formation energy is 0.0386 eV per atom. The total energy is -18.09 eV for the cell shown. Its space-group type is Cmmm, No. 65.

```
data_Mg2NiRu
_chemical_formula_sum 'Mg2 Ni1 Ru1'
_cell_length_a 4.739
_cell_length_b 4.739
_cell_length_c 2.768
_cell_angle_alpha 90.01
_cell_angle_beta 90.01
_cell_angle_gamma 105.60
_space_group_name_H-M_alt 'P 1'
_space_group_IT_number 1
loop_
_space_group_symop_operation_xyz
'x,y,z'
loop_
_atom_site_label
_atom_site_fract_x
_atom_site_fract_y
_atom_site_fract_z
Mg1 0.000 0.000 0.000
Mg2 0.500 0.500 0.000
Ni1 0.500 0.000 0.500
Ru1 0.000 0.500 0.500
```

---

A geometry-optimized Mg2NiRu structure, computed with PBE-GGA.

## Properties
The value obtained for the volume is 14.88 Å³ per atom. The value obtained for the density of states at the Fermi level is 3.72 states/eV/cell. The formation energy is 0.0443 eV per atom. The total energy is -18.07 eV for the cell shown. Its space-group type is I4/mmm, No. 139.

```
data_Mg2NiRu
_chemical_formula_sum 'Mg2 Ni1 Ru1'
_cell_length_a 4.706
_cell_length_b 4.706
_cell_length_c 4.706
_cell_angle_alpha 130.10
_cell_angle_beta 130.10
_cell_angle_gamma 73.25
_space_group_name_H-M_alt 'P 1'
_space_group_IT_number 1
loop_
_space_group_symop_operation_xyz
'x,y,z'
loop_
_atom_site_label
_atom_site_fract_x
_atom_site_fract_y
_atom_site_fract_z
Mg1 0.000 0.000 0.000
Mg2 0.500 0.500 0.000
Ni1 0.250 0.750 0.500
Ru1 0.750 0.250 0.500
```

---

A geometry-optimized MgNi2Ru structure, computed with PBE-GGA.

## Properties
The value obtained for the volume is 13.24 Å³ per atom. The value obtained for the density of states at the Fermi level is 4.11 states/eV/cell. The formation energy is 0.1361 eV per atom. The total energy is -21.89 eV for the cell shown. Its space-group type is R-3m, No. 166.

```
data_MgNi2Ru
_chemical_formula_sum 'Mg1 Ni2 Ru1'
_cell_length_a 8.606
_cell_length_b 8.606
_cell_length_c 8.606
_cell_angle_alpha 17.97
_cell_angle_beta 17.97
_cell_angle_gamma 17.97
_space_group_name_H-M_alt 'P 1'
_space_group_IT_number 1
loop_
_space_group_symop_operation_xyz
'x,y,z'
loop_
_atom_site_label
_atom_site_fract_x
_atom_site_fract_y
_atom_site_fract_z
Mg1 0.750 0.750 0.750
Ni1 0.998 0.998 0.998
Ni2 0.502 0.502 0.502
Ru1 0.250 0.250 0.250
```

---

A geometry-optimized Mg2NiRu structure, computed with PBE-GGA.

## Properties
The value obtained for the volume is 14.91 Å³ per atom. The value obtained for the density of states at the Fermi level is 3.18 states/eV/cell. The formation energy is 0.1024 eV per atom. The total energy is -17.84 eV for the cell shown. Its space-group type is C2/m, No. 12.

```
data_Mg2NiRu
_chemical_formula_sum 'Mg2 Ni1 Ru1'
_cell_length_a 4.575
_cell_length_b 4.575
_cell_length_c 5.072
_cell_angle_alpha 82.40
_cell_angle_beta 82.40
_cell_angle_gamma 34.55
_space_group_name_H-M_alt 'P 1'
_space_group_IT_number 1
loop_
_space_group_symop_operation_xyz
'x,y,z'
loop_
_atom_site_label
_atom_site_fract_x
_atom_site_fract_y
_atom_site_fract_z
Mg1 0.003 0.003 0.997
Mg2 0.497 0.497 0.503
Ni1 0.750 0.750 0.750
Ru1 0.250 0.250 0.250
```

---

A geometry-optimized Mg2NiRu structure, computed with PBE-GGA.

## Properties
The value obtained for the volume is 14.92 Å³ per atom. The value obtained for the density of states at the Fermi level is 4.21 states/eV/cell. The formation energy is 0.0808 eV per atom. The total energy is -17.92 eV for the cell shown. Its space-group type is I-4m2, No. 119.

```
data_Mg2NiRu
_chemical_formula_sum 'Mg2 Ni1 Ru1'
_cell_length_a 4.857
_cell_length_b 4.857
_cell_length_c 4.857
_cell_angle_alpha 133.25
_cell_angle_beta 133.25
_cell_angle_gamma 68.26
_space_group_name_H-M_alt 'P 1'
_space_group_IT_number 1
loop_
_space_group_symop_operation_xyz
'x,y,z'
loop_
_atom_site_label
_atom_site_fract_x
_atom_site_fract_y
_atom_site_fract_z
Mg1 0.000 0.000 0.000
Mg2 0.250 0.750 0.500
Ni1 0.500 0.500 0.000
Ru1 0.750 0.250 0.500
```